No. 1
A plane-wave DFT calculation with GGA-PBE was carried out for a relaxed structure of NaAuI4O12.

Cell and atoms, written as extended XYZ:
```
36
Lattice="10.9880 0.0000 0.0000 0.0000 4.3078 0.0000 -5.4609 0.0000 10.9805" Properties=species:S:1:pos:R:3 pbc="T T T"
Au 0.0000 0.0000 0.0000
Au -2.7304 2.1539 5.4903
I 8.1648 0.1156 1.6950
I 2.7888 4.1720 1.9580
I 5.4688 2.0181 3.5322
I 0.0927 2.2695 3.7953
I 5.4344 2.0383 7.1852
I 0.0583 2.2897 7.4483
I 2.7383 0.1358 9.0225
I -2.6377 4.1921 9.2855
Na 5.4940 2.1539 0.0000
Na 2.7635 0.0000 5.4903
O 7.2626 3.7138 0.2658
O 1.6081 3.2902 0.7027
O 9.7894 3.3960 1.3623
O 4.0819 2.8994 1.6991
O 6.1128 1.1387 2.0291
O 0.5559 1.1023 2.4958
O 7.7016 3.2562 2.9944
O 2.1447 3.2926 3.4612
O 4.1757 0.7455 3.7911
O -1.5319 1.2421 4.1280
O 6.6494 1.1363 4.7876
O 0.9949 1.5600 5.2244
O 4.5322 2.7478 5.7561
O -1.1223 3.1715 6.1929
O 7.0589 3.0656 6.8525
O 1.3514 3.5623 7.1894
O 3.3824 1.0152 7.5193
O -2.1745 1.0516 7.9861
O 4.9712 3.2054 8.4847
O -0.5857 3.1691 8.9514
O 1.4452 1.4084 9.2814
O -4.2623 0.9118 9.6183
O 3.9190 1.0176 10.2779
O -1.7355 0.5939 10.7147
```

Output
DFT total energy	-4.303	eV/atom
volume	14.44	A^3/atom
energy relative to the lowest polymorph listed for this composition	0	meV/atom

***

No. 2
A plane-wave DFT calculation with GGA-PBE was carried out for a relaxed structure of ScTaN2.

Cell and atoms, written as extended XYZ:
```
8
Lattice="-0.0108 0.9867 2.9017 -0.8301 -2.8796 -0.6426 10.0407 -3.1411 1.1055" Properties=species:S:1:pos:R:3 pbc="T T T"
N 0.6922 -1.9816 0.6764
N 3.2141 -2.7705 0.9541
N 5.9857 -2.2634 2.4106
N 8.5075 -3.0524 2.6883
Sc 0.0000 0.0000 0.0000
Sc 5.0203 -1.5705 0.5528
Ta 2.2263 -1.0873 1.9967
Ta 6.9735 -3.9467 1.3680
```

Output
spin magnetization	0.00	μB/f.u.
DFT total energy	-10.358	eV/atom
volume	10.76	A^3/atom

***

No. 3
A plane-wave DFT calculation with GGA-PBE was carried out for a relaxed structure of SrScPdSe3.

Cell and atoms, written as extended XYZ:
```
24
Lattice="-13.2552 1.1546 2.0412 -0.6659 -0.8061 -3.8680 -0.5492 -10.2463 2.2299" Properties=species:S:1:pos:R:3 pbc="T T T"
Pd -0.2376 -1.1425 -0.7587
Pd -7.0387 -3.8029 0.9666
Pd -7.4315 -6.0949 -0.5635
Pd -14.2326 -8.7553 1.1617
Sc -6.9574 -1.7875 -1.5428
Sc -13.6733 -2.8587 -0.1634
Sc -0.7969 -7.0391 0.5665
Sc -7.5128 -8.1103 1.9459
Se -8.1419 -0.2167 0.4091
Se -2.0076 -1.8256 -2.3869
Se -4.9505 -2.2352 0.2804
Se -11.5912 -1.9031 1.3543
Se -8.7654 -3.6793 -0.8373
Se -1.7131 -4.5039 0.1959
Se -12.7571 -5.3938 0.2072
Se -5.7047 -6.2185 1.2404
Se -2.8790 -7.9947 -0.9512
Se -9.5197 -7.6626 0.1227
Se -12.4626 -8.0722 2.7900
Se -6.3283 -9.6811 -0.0060
Sr -10.7401 -0.2368 -1.2148
Sr -4.3312 -4.8936 -1.3475
Sr -10.1390 -5.0042 1.7506
Sr -3.7301 -9.6610 1.6179
```

Output
spin magnetization	0.00	μB/f.u.
DFT total energy	-5.369	eV/atom
volume	23.60	A^3/atom
energy relative to the lowest polymorph listed for this composition	0	meV/atom

***

No. 4
A plane-wave DFT calculation with GGA-PBE was carried out for a relaxed structure of SrSb2Au.

Cell and atoms, written as extended XYZ:
```
4
Lattice="0.0000 3.7912 3.7912 3.7912 0.0000 3.7912 3.7912 3.7912 0.0000" Properties=species:S:1:pos:R:3 pbc="T T T"
Au 1.8956 1.8956 1.8956
Sb 0.0000 0.0000 0.0000
Sb 5.6868 5.6868 5.6868
Sr 3.7912 3.7912 3.7912
```

Output
DFT total energy	-3.616	eV/atom
volume	27.25	A^3/atom

***

No. 5
A plane-wave DFT calculation with GGA-PBE was carried out for a relaxed structure of Nd2DyIn.

Cell and atoms, written as extended XYZ:
```
4
Lattice="4.9141 0.0000 0.0000 0.0000 4.9141 0.0000 0.0000 0.0000 4.9748" Properties=species:S:1:pos:R:3 pbc="T T T"
Dy 0.0000 0.0000 0.0000
In 2.4570 2.4570 0.0000
Nd 2.4570 0.0000 2.4874
Nd 0.0000 2.4570 2.4874
```

Output
spin magnetization	0.06	μB/f.u.
DFT total energy	-4.490	eV/atom
volume	30.03	A^3/atom

***

No. 6
A plane-wave DFT calculation with GGA-PBE was carried out for a relaxed structure of TlCuSe.

Cell and atoms, written as extended XYZ:
```
6
Lattice="4.1093 0.0000 0.0000 0.0000 4.1093 0.0000 0.0000 0.0000 8.2383" Properties=species:S:1:pos:R:3 pbc="T T T"
Cu 0.0000 0.0000 0.0000
Cu 2.0546 2.0546 0.0000
Se 0.0000 2.0546 1.5013
Se 2.0546 0.0000 6.7370
Tl 2.0546 0.0000 2.8394
Tl 0.0000 2.0546 5.3989
```

Output
DFT total energy	-3.429	eV/atom
volume	23.19	A^3/atom